1.
PBE-GGA PmScGePd, relaxed; total DFT energy (no corrections) = -23.822 eV for the cell shown; energy relative to the elements = -0.73 eV per atom; symmetry = F-43m
1.0
0.0000 3.4990 3.4990
3.4990 0.0000 3.4990
3.4990 3.4990 0.0000
Pm Sc Ge Pd
1 1 1 1
Direct
0.0000 0.0000 0.0000 Pm
0.5000 0.5000 0.5000 Sc
0.2500 0.2500 0.2500 Ge
0.7500 0.7500 0.7500 Pd

***

2.
PBE-GGA BaLaRe2, relaxed; total DFT energy (no corrections) = -26.076 eV for the cell shown; distance to the lowest polymorph of the same formula = 1165 meV/atom; energy relative to the elements = 1.42 eV per atom; symmetry = R-3m
1.0
1.6821 0.9712 9.6940
-1.6821 0.9712 9.6940
0.0000 -1.9424 9.6940
Ba La Re
1 1 2
Direct
0.0000 0.0000 0.0000 Ba
0.5000 0.5000 0.5000 La
0.2404 0.2404 0.2404 Re
0.7596 0.7596 0.7596 Re

***

3.
PBE-GGA Dy6In5Pb, relaxed; total DFT energy (no corrections) = -48.992 eV for the cell shown; distance to the lowest polymorph of the same formula = 127 meV/atom; energy relative to the elements = -0.33 eV per atom; symmetry = C2/m
1.0
3.2379 -5.4642 0.0000
3.2379 5.4642 0.0000
-1.9220 0.0000 9.7645
Dy In Pb
6 5 1
Direct
0.0769 0.4129 0.2463 Dy
0.2481 0.2481 0.7495 Dy
0.4129 0.0769 0.2463 Dy
0.5871 0.9231 0.7537 Dy
0.7519 0.7519 0.2505 Dy
0.9231 0.5871 0.7537 Dy
0.0000 0.0000 0.0000 In
0.1693 0.8307 0.5000 In
0.3367 0.6633 0.0000 In
0.6633 0.3367 0.0000 In
0.8307 0.1693 0.5000 In
0.5000 0.5000 0.5000 Pb

***

4.
PBE-GGA MgCdCl2, relaxed; total DFT energy (no corrections) = -10.022 eV for the cell shown; distance to the lowest polymorph of the same formula = 311 meV/atom; symmetry = P4/mmm; uncorrected formation energy = -0.955 eV/atom
1.0
3.2261 0.0000 0.0000
0.0000 3.2261 0.0000
0.0000 0.0000 10.2070
Mg Cd Cl
1 1 2
Direct
0.0000 0.0000 0.0000 Mg
0.0000 0.0000 0.5000 Cd
0.5000 0.5000 0.1475 Cl
0.5000 0.5000 0.8525 Cl

***

5.
PBE-GGA NaC, relaxed; total DFT energy (no corrections) = -6.350 eV for the cell shown; distance to the lowest polymorph of the same formula = 1866 meV/atom; energy relative to the elements = 2.10 eV per atom; symmetry = P-6m2
1.0
4.1436 0.0000 0.0000
-2.0718 3.5885 0.0000
0.0000 0.0000 1.9251
Na C
1 1
Direct
0.0000 0.0000 0.0000 Na
0.6667 0.3333 0.5000 C

***

6.
PBE-GGA Sc3TiPd, relaxed; total DFT energy (no corrections) = -31.065 eV for the cell shown; distance to the lowest polymorph of the same formula = 0 meV/atom; energy relative to the elements = 0.20 eV per atom; symmetry = Pm-3m
1.0
5.0329 0.0000 0.0000
0.0000 5.0329 0.0000
0.0000 0.0000 5.0329
Sc Ti Pd
3 1 1
Direct
0.0000 0.0000 0.5000 Sc
0.0000 0.5000 0.0000 Sc
0.5000 0.0000 0.0000 Sc
0.5000 0.5000 0.5000 Ti
0.0000 0.0000 0.0000 Pd

***

7.
PBE-GGA Al4Au3, relaxed; total DFT energy (no corrections) = -26.708 eV for the cell shown; distance to the lowest polymorph of the same formula = 0 meV/atom; energy relative to the elements = -0.27 eV per atom; symmetry = I4/mmm
1.0
-1.8011 1.8011 9.2408
1.8011 -1.8011 9.2408
1.8011 1.8011 -9.2408
Al Au
4 3
Direct
0.0682 0.0682 0.0000 Al
0.3514 0.3514 0.0000 Al
0.6486 0.6486 0.0000 Al
0.9318 0.9318 0.0000 Al
0.2043 0.2043 0.0000 Au
0.5000 0.5000 0.0000 Au
0.7957 0.7957 0.0000 Au

***

8.
PBE-GGA PmSn2Bi, relaxed; total DFT energy (no corrections) = -18.411 eV for the cell shown; distance to the lowest polymorph of the same formula = 0 meV/atom; energy relative to the elements = -0.44 eV per atom; symmetry = P4/mmm
1.0
4.8007 0.0000 0.0000
0.0000 4.8007 0.0000
0.0000 0.0000 4.9443
Pm Sn Bi
1 2 1
Direct
0.0000 0.0000 0.0000 Pm
0.0000 0.5000 0.5000 Sn
0.5000 0.0000 0.5000 Sn
0.5000 0.5000 0.0000 Bi

***

- Number 5 is which compound?
  NaC

***

Repeat the first record exactly.
PBE-GGA PmScGePd, relaxed; total DFT energy (no corrections) = -23.822 eV for the cell shown; energy relative to the elements = -0.73 eV per atom; symmetry = F-43m
1.0
0.0000 3.4990 3.4990
3.4990 0.0000 3.4990
3.4990 3.4990 0.0000
Pm Sc Ge Pd
1 1 1 1
Direct
0.0000 0.0000 0.0000 Pm
0.5000 0.5000 0.5000 Sc
0.2500 0.2500 0.2500 Ge
0.7500 0.7500 0.7500 Pd

***

- What is the formula in the fifth record?
  NaC